Density functional theory data (GGA-PBE) for an optimized crystal structure of CdAgAu2.

```
data_CdAgAu2
_symmetry_space_group_name_H-M 'C 1 m 1'
_symmetry_Int_Tables_number 8
_symmetry_space_group_name_Hall 'C -2y'
_cell_length_a 9.9360
_cell_length_b 3.0187
_cell_length_c 5.0726
_cell_angle_alpha 90.00
_cell_angle_beta 101.52
_cell_angle_gamma 90.00
loop_
_atom_site_label
_atom_site_fract_x
_atom_site_fract_y
_atom_site_fract_z
_atom_site_occupancy
Cd1 0.0000 0.0000 0.0000 1
Ag1 0.2544 0.5000 0.2644 1
Au1 0.0044 0.5000 0.4992 1
Au2 0.2511 0.0000 0.7618 1
```

Crystal system = monoclinic
Uncorrected energy = -21.4 eV per cell
DFT formation energy = -0.10 eV per atom